V2ZnO4 after structural relaxation. Source: the Alexandria database, functional PBE with a Hubbard U.

The structure in CIF format:
```
data_V2ZnO4
_chemical_formula_sum 'V4 Zn2 O8'
_symmetry_space_group_name_H-M 'P 1'
_symmetry_Int_Tables_number 1
_cell_length_a 6.0216
_cell_length_b 6.0216
_cell_length_c 6.0216
_cell_angle_alpha 119.40
_cell_angle_beta 118.71
_cell_angle_gamma 91.65
loop_
_symmetry_equiv_pos_as_xyz
'x,y,z'
loop_
_atom_site_label
_atom_site_fract_x
_atom_site_fract_y
_atom_site_fract_z
V1 0.0000 0.0000 0.0000
V2 0.5000 0.0000 0.0000
V3 0.5000 0.0000 0.5000
V4 0.5000 0.5000 0.5000
Zn1 0.0000 0.5000 0.5000
Zn2 0.5000 0.5000 0.0000
O1 0.2549 0.2431 0.4882
O2 0.2549 0.7667 0.0118
O3 0.2784 0.2453 0.0331
O4 0.2878 0.7547 0.5331
O5 0.7122 0.2453 0.4669
O6 0.7216 0.7547 0.9669
O7 0.7451 0.2333 0.9882
O8 0.7451 0.7569 0.5118
```

Values from the calculation:
Final energy (Ry/atom): -0.506
Distance to the lowest polymorph of the same formula (meV/atom): 164
Space-group type: No. 74